Entry from Alexandria: an optimized crystal structure of ThCdNiAu (PBE).

Cell and atoms, written as CIF:
```
data_ThCdNiAu
_symmetry_space_group_name_H-M 'F -4 3 m'
_symmetry_Int_Tables_number 216
_symmetry_space_group_name_Hall 'F -4 2 3'
_cell_length_a 6.959
_cell_length_b 6.959
_cell_length_c 6.959
_cell_angle_alpha 90.00
_cell_angle_beta 90.00
_cell_angle_gamma 90.00
loop_
_atom_site_label
_atom_site_type_symbol
_atom_site_fract_x
_atom_site_fract_y
_atom_site_fract_z
Th1 Th 0.000 0.000 0.000
Cd1 Cd 0.000 0.000 0.500
Ni1 Ni 0.250 0.250 0.750
Au1 Au 0.250 0.250 0.250
```

Properties
* DFT total energy: -0.346 Ry per atom
* N(E_F): 13.0 states/eV per cell
* DFT formation energy: -0.35 eV per atom
* mass density: 11.8 g/cm³